First-principles (PBE-GGA) data for a relaxed Y3Mg3Zn2Cd crystal, as listed in the Open Quantum Materials Database.

Cell: 7.5623 7.5623 4.2710 Å, 90.00 90.00 120.00°
Sites, in units of the cell vectors:
Cd  0.0000  0.0000  0.0000
Mg  0.2533  0.0000  0.5000
Mg  0.0000  0.2533  0.5000
Mg  0.7467  0.7467  0.5000
Y  0.5789  0.0000  0.0000
Y  0.4211  0.4211  0.0000
Y  0.0000  0.5789  0.0000
Zn  0.6667  0.3333  0.5000
Zn  0.3333  0.6667  0.5000

Calculated values
Its space-group type is P-62m, No. 189. The value obtained for the total magnetization is 0.0 μB/cell. As for the uncorrected energy: -3.330 eV per atom.